1.
{"formula": "RbZnAsF6", "functional": "GGA-PBE", "state": "optimized geometry", "lattice_angstrom": [[-5.5138, -0.7800, -1.1750], [-3.7179, -1.9444, 3.8582], [-1.1945, 5.6460, 1.6235]], "species": ["Rb", "Zn", "As", "F", "F", "F", "F", "F", "F"], "frac_coords": [[0.0035, 0.0034, 0.0000], [0.3423, 0.3415, 0.5000], [0.6674, 0.6678, 0.5000], [0.0144, 0.3802, 0.3170], [0.3799, 0.0164, 0.6839], [0.5942, 0.3895, 0.7043], [0.9678, 0.6408, 0.6828], [0.3893, 0.5926, 0.2951], [0.6409, 0.9679, 0.3168]], "total_magnetization_mub_per_cell": 0.00, "e_tot_ev_per_atom": -4.344, "sg": "No. 1", "e_form_raw_ev_per_atom": -2.330}

2.
{"formula": "TiSi2Hg", "functional": "GGA-PBE", "state": "optimized geometry", "lattice_angstrom": [[7.1438, 0.0000, 0.0000], [0.0000, 7.1438, 0.0000], [3.5719, 3.5719, 2.8833]], "species": ["Si", "Si", "Si", "Si", "Hg", "Hg", "Ti", "Ti"], "frac_coords": [[0.6257, 0.1250, 0.2500], [0.1243, 0.6250, 0.2500], [0.3750, 0.3743, 0.7500], [0.8750, 0.8757, 0.7500], [0.0000, 0.0000, 0.0000], [0.7500, 0.2500, 0.5000], [0.5000, 0.5000, 0.0000], [0.2500, 0.7500, 0.5000]], "total_magnetization_mub_per_cell": 0.00, "e_tot_ev_per_atom": -4.373, "sg": "No. 122", "e_form_raw_ev_per_atom": 0.388}

Calculated mass density, 3.44, 6.88 Mg/m³ (same order as the records).